A geometry-optimized GaGe2Rh4 structure. Source: Alexandria, functional PBE.

Spin magnetization (μB per cell): 0.0
Energy of formation from the pure elements (eV per formula unit): 1.861

a b c (Å): 4.4989 4.4989 6.9573
angles (deg): 71.14 71.14 90.00
Fractional positions:
Ga1 0.0000 0.0000 0.0000
Rh1 0.1955 0.1955 0.6090
Ge1 0.3830 0.3830 0.2340
Rh2 0.5000 0.0000 0.0000
Rh3 0.0000 0.5000 0.0000
Rh4 0.8045 0.8045 0.3910
Ge2 0.6170 0.6170 0.7660